The following is a DFT calculation (PBE-GGA) of a relaxed structure of SrZr4Ni.

Properties
Space-group type: F-43m
Magnetic moment (μB/f.u.): 0.0
Density of states at the Fermi level (states/eV/cell): 7.56
Calculated total energy (eV for the cell shown): -37.77
Formation energy from the elements (meV/atom): 648

```
SrZr4Ni
1.0
3.951 -4.283 -1.111
-1.835 -5.571 -0.887
0.325 -2.403 -5.414
Ni Zr Sr
1 4 1
Cartesian
1.831 -9.192 -5.559 Ni
2.875 -6.732 -3.339 Zr
0.009 -7.370 -3.228 Zr
0.918 -4.610 -2.788 Zr
1.079 -5.801 -5.470 Zr
0.000 0.000 0.000 Sr
```

***

The following is a DFT calculation (PBE-GGA) of a relaxed structure of Nd5DyY2.

Properties
Space-group type: P1
Magnetic moment (μB/f.u.): 0.0
Density of states at the Fermi level (states/eV/cell): 23.33
Calculated total energy (eV for the cell shown): -82.51
Formation energy from the elements (meV/atom): 14

```
Nd5DyY2
1.0
12.473 -3.844 4.773
-5.010 12.056 4.746
3.279 3.618 8.355
Dy Nd Y
2 10 4
Cartesian
0.349 12.450 10.569 Dy
1.112 8.928 10.204 Dy
0.466 3.825 3.859 Nd
-1.380 14.950 12.576 Nd
11.071 -2.064 6.253 Nd
4.192 7.933 8.627 Nd
7.229 2.456 8.194 Nd
9.230 9.047 14.973 Nd
10.957 6.550 12.985 Nd
9.093 4.513 10.596 Nd
2.333 5.865 6.236 Nd
2.976 10.981 12.576 Nd
5.496 4.939 10.224 Y
11.700 3.042 12.607 Y
4.835 13.043 14.973 Y
7.373 6.983 12.590 Y
```

***

The following is a DFT calculation (PBE-GGA) of a relaxed structure of LaMoP2.

Properties
Space-group type: F-43m
Magnetic moment (μB/f.u.): 0.0
Density of states at the Fermi level (states/eV/cell): 4.40
Calculated total energy (eV for the cell shown): -25.38
Formation energy from the elements (meV/atom): 299

```
LaMoP2
1.0
4.709 0.000 0.000
2.355 4.078 0.000
2.355 1.359 3.845
La Mo P
1 1 2
Cartesian
4.709 2.719 1.923 La
7.064 4.078 2.884 Mo
0.000 0.000 0.000 P
2.355 1.359 0.961 P
```

***

The following is a DFT calculation (PBE-GGA) of a relaxed structure of GaSnPd4.

Properties
Space-group type: Pnma
Magnetic moment (μB/f.u.): 0.0
Density of states at the Fermi level (states/eV/cell): 10.43
Calculated total energy (eV for the cell shown): -124.68
Formation energy from the elements (meV/atom): -562

```
GaSnPd4
1.0
-2.114 -1.800 -1.868
-1.187 -4.333 5.520
-12.509 9.632 4.871
Pd Sn Ga
16 4 4
Cartesian
-8.193 -0.864 5.608 Pd
-13.089 5.953 7.575 Pd
-6.549 1.476 4.489 Pd
-5.788 -0.493 2.529 Pd
-2.721 -2.454 0.948 Pd
-5.307 -3.487 4.870 Pd
-10.503 6.986 3.653 Pd
-7.617 4.363 2.916 Pd
-3.271 -1.664 3.807 Pd
-14.415 3.368 8.570 Pd
-1.395 0.131 -0.046 Pd
-9.261 2.023 4.034 Pd
-10.858 1.245 6.591 Pd
-10.021 3.992 5.994 Pd
-12.539 5.163 4.717 Pd
-4.952 2.254 1.933 Pd
-12.634 3.304 6.616 Sn
-10.450 4.246 3.237 Sn
-5.360 -0.747 5.287 Sn
-3.175 0.195 1.907 Sn
-7.456 1.873 2.136 Ga
-12.660 7.566 5.536 Ga
-8.354 1.626 6.387 Ga
-3.150 -4.067 2.988 Ga
```

***

The following is a DFT calculation (PBE-GGA) of a relaxed structure of Pm2SiAu.

Properties
Space-group type: P2_1/m
Magnetic moment (μB/f.u.): 0.0
Density of states at the Fermi level (states/eV/cell): 8.80
Calculated total energy (eV for the cell shown): -42.18
Formation energy from raw total energies (eV per atom): -0.72

```
Pm2SiAu
1.0
4.327 0.000 0.000
0.000 6.027 -0.012
0.000 -3.024 7.769
Si Pm Au
2 4 2
Cartesian
1.082 -0.136 5.506 Si
3.245 3.139 2.250 Si
1.082 2.996 4.459 Pm
3.245 0.007 3.297 Pm
1.082 4.498 0.524 Pm
3.245 -1.495 7.233 Pm
1.082 1.488 1.654 Au
3.245 1.516 6.103 Au
```

***

The following is a DFT calculation (PBE-GGA) of a relaxed structure of In2AgF7.

Properties
Space-group type: R-3m
Magnetic moment (μB/f.u.): 0.0
Calculated total energy (eV for the cell shown): -42.91
Formation energy from raw total energies (eV per atom): -2.15

```
In2AgF7
1.0
0.152 3.763 0.910
-2.961 1.663 1.866
3.625 -0.658 10.365
Ag F In
1 7 2
Cartesian
0.408 2.384 6.571 Ag
1.857 0.298 6.706 F
0.000 0.000 0.000 F
1.070 3.328 10.804 F
-0.778 3.026 4.116 F
-0.254 1.440 2.337 F
-1.042 4.470 6.435 F
1.594 1.742 9.025 F
-1.923 4.947 4.610 In
2.739 -0.179 8.531 In
```